Below is a relaxed KNaSb3 crystal, with properties calculated at the PBE level.

Cell lengths 6.4759, 6.4759, 19.0203 Å; angles 90.00, 90.00, 120.00 degrees
Closest atoms and distances in Å follow each position.
Space group R3m (No. 160, hexagonal axes)
Asymmetric unit:
K (0.0000, 0.0000, 0.0000) (multiplicity 3)  6 Sb 3.68-3.69
Na (0.0000, 0.0000, 0.4673) (multiplicity 3)  6 Sb 3.33
Sb (0.1838, 0.3676, 0.8395) (multiplicity 9)  2 Sb 2.91

Mass density (g/cm³): 3.08
E_form (uncorrected) (eV/atom): -0.06
D(E_F) (states/eV/cell): 8.51
Energy above the lowest structure with this stoichiometry (eV per atom): 0.000
DFT total energy (eV per atom): -3.021